Record 1
Compound: Ce2Si4NiOs3
Source: Alexandria via LeMat-Bulk
Functional: PBE
Structure: optimized geometry

Results
Calculated density, g/cm3: 10.02
VASP energy, eV per atom: -7.936

```
data_Ce2Si4NiOs3
_chemical_formula_sum 'Ce2 Si4 Ni1 Os3'
_cell_length_a 4.1138
_cell_length_b 4.1138
_cell_length_c 10.0064
_cell_angle_alpha 90.00
_cell_angle_beta 90.00
_cell_angle_gamma 90.00
_symmetry_space_group_name_H-M 'P -4 m 2'
_symmetry_Int_Tables_number 115
loop_
_symmetry_equiv_pos_as_xyz
'x,y,z'
'y,-x,-z'
'-x,-y,z'
'-y,x,-z'
'-x,y,z'
'-y,-x,-z'
'x,-y,z'
'y,x,-z'
loop_
_atom_site_label
_atom_site_fract_x
_atom_site_fract_y
_atom_site_fract_z
Ce1 0.0000 0.5000 0.2449
Si1 0.0000 0.0000 0.0000
Si2 0.0000 0.5000 0.6246
Si3 0.5000 0.5000 0.0000
Ni1 0.0000 0.0000 0.5000
Os1 0.0000 0.5000 0.8672
Os2 0.5000 0.5000 0.5000
```

Record 2
Compound: HfThSb
Source: Alexandria via LeMat-Bulk
Functional: PBE
Structure: optimized geometry

Results
Calculated density, g/cm3: 10.98
VASP energy, eV per atom: -7.749

```
data_HfThSb
_chemical_formula_sum 'Hf2 Th2 Sb2'
_cell_length_a 4.3632
_cell_length_b 4.3632
_cell_length_c 8.4536
_cell_angle_alpha 90.00
_cell_angle_beta 90.00
_cell_angle_gamma 90.00
_symmetry_space_group_name_H-M 'P 4/n m m'
_symmetry_Int_Tables_number 129
loop_
_symmetry_equiv_pos_as_xyz
'x,y,z'
'-x,-y,-z'
'-y+1/2,x,z'
'y+1/2,-x,-z'
'-x+1/2,-y+1/2,z'
'x+1/2,y+1/2,-z'
'y,-x+1/2,z'
'-y,x+1/2,-z'
'x+1/2,-y,-z'
'-x+1/2,y,z'
'-y,-x,-z'
'y,x,z'
'-x,y+1/2,-z'
'x,-y+1/2,z'
'y+1/2,x+1/2,-z'
'-y+1/2,-x+1/2,z'
loop_
_atom_site_label
_atom_site_fract_x
_atom_site_fract_y
_atom_site_fract_z
Hf1 0.2500 0.7500 0.0000
Th1 0.2500 0.2500 0.3535
Sb1 0.2500 0.2500 0.7511
```

Record 3
Compound: Ca4CuIr
Source: Alexandria via LeMat-Bulk
Functional: PBE
Structure: optimized geometry

Results
Calculated density, g/cm3: 4.07
Formation energy, eV per atom: -0.2316
VASP energy, eV per atom: -3.725

```
data_Ca4CuIr
_chemical_formula_sum 'Ca16 Cu4 Ir4'
_cell_length_a 9.2781
_cell_length_b 13.5666
_cell_length_c 6.4228
_cell_angle_alpha 90.00
_cell_angle_beta 122.84
_cell_angle_gamma 90.00
_symmetry_space_group_name_H-M 'C 1 2/c 1'
_symmetry_Int_Tables_number 15
loop_
_symmetry_equiv_pos_as_xyz
'x,y,z'
'-x,-y,-z'
'-x,y,-z+1/2'
'x,-y,z+1/2'
'x+1/2,y+1/2,z'
'-x+1/2,-y+1/2,-z'
'-x+1/2,y+1/2,-z+1/2'
'x+1/2,-y+1/2,z+1/2'
loop_
_atom_site_label
_atom_site_fract_x
_atom_site_fract_y
_atom_site_fract_z
Ca1 0.1203 0.1715 0.0914
Ca2 0.2065 0.4384 0.2747
Cu1 0.0000 0.3624 0.7500
Ir1 0.0000 0.0009 0.2500
```

Record 4
Compound: BaHf2Br
Source: Alexandria via LeMat-Bulk
Functional: PBE
Structure: optimized geometry

Results
Calculated density, g/cm3: 7.40
VASP energy, eV per atom: -5.600

```
data_BaHf2Br
_chemical_formula_sum 'Ba4 Hf8 Br4'
_cell_length_a 4.2888
_cell_length_b 4.2888
_cell_length_c 28.0080
_cell_angle_alpha 90.00
_cell_angle_beta 90.00
_cell_angle_gamma 90.00
_symmetry_space_group_name_H-M 'I -4 2 d'
_symmetry_Int_Tables_number 122
_symmetry_space_group_name_Hall 'I -4 2bw'
loop_
_atom_site_label
_atom_site_fract_x
_atom_site_fract_y
_atom_site_fract_z
Ba1 0.0000 0.0000 0.0000
Hf1 0.2473 0.2500 0.1250
Br1 0.0000 0.0000 0.5000
```

Record 5
Compound: PmDy2Ni6
Source: Alexandria via LeMat-Bulk
Functional: PBE
Structure: optimized geometry

Results
Calculated density, g/cm3: 8.66
Formation energy, eV per atom: -0.3719
VASP energy, eV per atom: -5.777

```
data_PmDy2Ni6
_chemical_formula_sum 'Pm1 Dy2 Ni6'
_cell_length_a 6.9659
_cell_length_b 6.9659
_cell_length_c 3.7534
_cell_angle_alpha 90.00
_cell_angle_beta 90.00
_cell_angle_gamma 120.00
_symmetry_space_group_name_H-M 'P 6/m m m'
_symmetry_Int_Tables_number 191
_symmetry_space_group_name_Hall '-P 6 2'
loop_
_atom_site_label
_atom_site_fract_x
_atom_site_fract_y
_atom_site_fract_z
Pm1 0.0000 0.0000 0.0000
Dy1 0.3333 0.6667 0.0000
Ni1 0.0000 0.3349 0.5000
```

Record 6
Compound: NaLiZn2Sn2
Source: Alexandria via LeMat-Bulk
Functional: PBE
Structure: optimized geometry

Results
Calculated density, g/cm3: 4.93
Formation energy, eV per atom: -0.1412
VASP energy, eV per atom: -2.439

```
data_NaLiZn2Sn2
_chemical_formula_sum 'Na1 Li1 Zn2 Sn2'
_cell_length_a 4.6364
_cell_length_b 4.6364
_cell_length_c 7.2017
_cell_angle_alpha 90.00
_cell_angle_beta 90.00
_cell_angle_gamma 120.00
_symmetry_space_group_name_H-M 'P -3 m 1'
_symmetry_Int_Tables_number 164
_symmetry_space_group_name_Hall '-P 3 2"'
loop_
_atom_site_label
_atom_site_fract_x
_atom_site_fract_y
_atom_site_fract_z
Na1 0.0000 0.0000 0.0000
Li1 0.0000 0.0000 0.5000
Zn1 0.3333 0.6667 0.7084
Sn1 0.3333 0.6667 0.2772
```

Record 7
Compound: TeRh2Pb
Source: Alexandria via LeMat-Bulk
Functional: PBE
Structure: optimized geometry

Results
Calculated density, g/cm3: 11.35
VASP energy, eV per atom: -5.340

```
data_TeRh2Pb
_chemical_formula_sum 'Te3 Rh6 Pb3'
_cell_length_a 3.3395
_cell_length_b 3.3395
_cell_length_c 24.5606
_cell_angle_alpha 90.00
_cell_angle_beta 90.00
_cell_angle_gamma 120.00
_symmetry_space_group_name_H-M 'R -3 m'
_symmetry_Int_Tables_number 166
_symmetry_space_group_name_Hall '-R 3 2"'
loop_
_atom_site_label
_atom_site_fract_x
_atom_site_fract_y
_atom_site_fract_z
Te1 0.0000 0.0000 0.0000
Rh1 0.0000 0.0000 0.2552
Pb1 0.0000 0.0000 0.5000
```

Record 8
Compound: NaLaSiP2
Source: Alexandria via LeMat-Bulk
Functional: PBE
Structure: optimized geometry

Results
Calculated density, g/cm3: 2.42
VASP energy, eV per atom: -3.914

```
data_NaLaSiP2
_chemical_formula_sum 'Na1 La1 Si1 P2'
_cell_length_a 5.5478
_cell_length_b 5.5478
_cell_length_c 5.6104
_cell_angle_alpha 90.00
_cell_angle_beta 90.00
_cell_angle_gamma 90.00
_symmetry_space_group_name_H-M 'P 4/m m m'
_symmetry_Int_Tables_number 123
_symmetry_space_group_name_Hall '-P 4 2'
loop_
_atom_site_label
_atom_site_fract_x
_atom_site_fract_y
_atom_site_fract_z
Na1 0.0000 0.0000 0.0000
La1 0.5000 0.5000 0.5000
Si1 0.5000 0.5000 0.0000
P1 0.0000 0.5000 0.5000
```

Record 9
Compound: CuAgI
Source: Alexandria via LeMat-Bulk
Functional: PBE
Structure: optimized geometry

Results
Calculated density, g/cm3: 6.33
VASP energy, eV per atom: -2.842

```
data_CuAgI
_chemical_formula_sum 'Cu2 Ag2 I2'
_cell_length_a 4.0739
_cell_length_b 4.0957
_cell_length_c 9.7184
_cell_angle_alpha 77.85
_cell_angle_beta 81.11
_cell_angle_gamma 89.90
_symmetry_space_group_name_H-M 'P -1'
_symmetry_Int_Tables_number 2
loop_
_symmetry_equiv_pos_as_xyz
'x,y,z'
'-x,-y,-z'
loop_
_atom_site_label
_atom_site_fract_x
_atom_site_fract_y
_atom_site_fract_z
Cu1 0.2455 0.4570 0.0872
Ag1 0.3023 0.0551 0.8903
I1 0.1882 0.6574 0.6859
```

Record 10
Compound: SrHf2V
Source: Alexandria via LeMat-Bulk
Functional: PBE
Structure: optimized geometry

Results
Calculated density, g/cm3: 8.72
Formation energy, eV per atom: 0.8173
VASP energy, eV per atom: -6.860

```
data_SrHf2V
_chemical_formula_sum 'Sr4 Hf8 V4'
_cell_length_a 7.2264
_cell_length_b 7.2264
_cell_length_c 7.2264
_cell_angle_alpha 90.00
_cell_angle_beta 90.00
_cell_angle_gamma 90.00
_symmetry_space_group_name_H-M 'F m -3 m'
_symmetry_Int_Tables_number 225
_symmetry_space_group_name_Hall '-F 4 2 3'
loop_
_atom_site_label
_atom_site_fract_x
_atom_site_fract_y
_atom_site_fract_z
Sr1 0.0000 0.0000 0.0000
Hf1 0.2500 0.2500 0.2500
V1 0.0000 0.0000 0.5000
```

Record 11
Compound: MgZn8Ag6
Source: Alexandria via LeMat-Bulk
Functional: PBE
Structure: optimized geometry

Results
Calculated density, g/cm3: 7.64
Formation energy, eV per atom: 0.0016
VASP energy, eV per atom: -1.925

```
data_MgZn8Ag6
_chemical_formula_sum 'Mg3 Zn24 Ag18'
_cell_length_a 7.4934
_cell_length_b 7.4934
_cell_length_c 16.0174
_cell_angle_alpha 90.00
_cell_angle_beta 90.00
_cell_angle_gamma 120.00
_symmetry_space_group_name_H-M 'R -3'
_symmetry_Int_Tables_number 148
_symmetry_space_group_name_Hall '-R 3'
loop_
_atom_site_label
_atom_site_fract_x
_atom_site_fract_y
_atom_site_fract_z
Mg1 0.0000 0.0000 0.0000
Zn1 0.0000 0.0000 0.2287
Zn2 0.0010 0.6846 0.1364
Ag1 0.0280 0.7793 0.6334
```

Record 12
Compound: Dy2Zn3Si
Source: Alexandria via LeMat-Bulk
Functional: PBE
Structure: optimized geometry

Results
Calculated density, g/cm3: 7.73
VASP energy, eV per atom: -3.581

```
data_Dy2Zn3Si
_chemical_formula_sum 'Dy16 Zn24 Si8'
_cell_length_a 7.2213
_cell_length_b 8.6901
_cell_length_c 15.0459
_cell_angle_alpha 90.00
_cell_angle_beta 90.00
_cell_angle_gamma 90.00
_symmetry_space_group_name_H-M 'F m m m'
_symmetry_Int_Tables_number 69
_symmetry_space_group_name_Hall '-F 2 2'
loop_
_atom_site_label
_atom_site_fract_x
_atom_site_fract_y
_atom_site_fract_z
Dy1 0.2459 0.0000 0.0000
Dy2 0.2500 0.2500 0.2500
Zn1 0.0000 0.0000 0.1676
Zn2 0.0000 0.2471 0.4168
Si1 0.0000 0.0000 0.3338
```